# CoPOsO GGA+U optimized geometry
# ρ in Mg/m³: 9.316
# Relative energy among the computed polymorphs in eV/atom: 0.2949
# Energy in eV per cell: -54.37
# Size of the total moment in μB/cell: 2.8
data_CoPOsO
_chemical_formula_sum 'Co2 P2 Os2 O2'
_space_group_name_H-M_alt 'P m c 21'
_space_group_IT_number 26
_space_group_name_Hall 'P 2c -2'
_cell_length_a 3.9387
_cell_length_b 4.9886
_cell_length_c 5.3729
_cell_angle_alpha 90.00
_cell_angle_beta 90.00
_cell_angle_gamma 90.00
loop_
_atom_site_label
_atom_site_type_symbol
_atom_site_fract_x
_atom_site_fract_y
_atom_site_fract_z
Co1 Co 0.0000 0.1694 0.0000
P1 P 0.5000 0.3269 0.8340
Os1 Os 0.5000 0.2104 0.4244
O1 O 0.0000 0.1985 0.3720